(1)
First-principles (PBE-GGA) data for a relaxed structure of UFeGe, as listed in the Open Quantum Materials Database.

abc: 6.7994 4.4042 6.9200
angles: 90.00 94.01 90.00
Space group P2_1/m (No. 11)
Asymmetric unit:
U 0.1909 0.2500 0.4893 [2 per cell]
U 0.2872 0.2500 0.9627 [2 per cell]
Fe 0.0361 0.7500 0.7507 [2 per cell]
Fe 0.4722 0.7500 0.3622 [2 per cell]
Ge 0.1269 0.7500 0.1890 [2 per cell]
Ge 0.4044 0.7500 0.7126 [2 per cell]

Calculated values
DFT total energy in eV/atom: -8.42
Total magnetization in Bohr magnetons per cell: 4.07
Crystal system: monoclinic
ρ in g/cm3: 11.776

(2)
First-principles (PBE-GGA) data for a relaxed structure of CoNiSnSe3, as listed in the Open Quantum Materials Database.

abc: 3.6724 13.6319 9.2297
angles: 90.00 90.00 90.00
Space group Cmcm (No. 63)
Asymmetric unit:
Co 0.0000 0.0279 0.2500 [4 per cell]
Ni 0.0000 0.5000 0.0000 [4 per cell]
Sn 0.0000 0.2705 0.7500 [4 per cell]
Se 0.0000 0.1279 0.0475 [8 per cell]
Se 0.0000 0.4279 0.2500 [4 per cell]

Calculated values
Total magnetization in Bohr magnetons per cell: 3.09
Crystal system: orthorhombic
ρ in g/cm3: 6.803
Offset from the most stable computed form in eV per atom: 0.115

(3)
First-principles (PBE-GGA) data for a relaxed structure of ZrCoSbW, as listed in the Open Quantum Materials Database.

abc: 6.4919 6.4919 6.4919
angles: 90.00 90.00 90.00
Space group F-43m (No. 216)
Asymmetric unit:
Zr 0.0000 0.0000 0.0000 [4 per cell]
Co 0.2500 0.2500 0.7500 [4 per cell]
Sb 0.0000 0.0000 0.5000 [4 per cell]
W 0.2500 0.2500 0.2500 [4 per cell]

Calculated values
Total magnetization in Bohr magnetons per cell: 0.00
Crystal system: cubic
ρ in g/cm3: 11.065
Offset from the most stable computed form in eV per atom: 0.000